1.
Entry from the Alexandria database: a relaxed NaAg4Sb crystal (PBE).

Results
density = 7.6 Mg/m³
Fermi-level density of states = 2.0 states/eV/f.u.
crystal system = cubic
magnetic moment = 0.00 μB per formula unit
space group = No. 216
formation energy without anion corrections = -5 kJ/mol of atoms
offset from the most stable computed form = 0 meV per atom

Cell: 5.627 5.627 5.627 Å, 60.00 60.00 60.00°
Atoms (fractional coordinates):
Na1 0.000 0.000 0.000
Ag1 0.124 0.625 0.625
Ag2 0.625 0.124 0.625
Ag3 0.625 0.625 0.124
Ag4 0.625 0.625 0.625
Sb1 0.250 0.250 0.250

***

2.
Entry from the Alexandria database: a relaxed Na2Ag3Sb4 crystal (PBE).

Results
density = 6.2 Mg/m³
Fermi-level density of states = 4.1 states/eV/f.u.
crystal system = orthorhombic
magnetic moment = 0.00 μB per formula unit
space group = No. 69
formation energy without anion corrections = -5 kJ/mol of atoms

Cell: 9.083 7.964 6.040 Å, 79.58 59.58 40.84°
Atoms (fractional coordinates):
Na1 0.132 0.132 0.868
Na2 0.868 0.868 0.132
Ag1 0.000 0.000 0.500
Ag2 0.500 0.500 0.000
Ag3 0.500 0.500 0.500
Sb1 0.189 0.497 0.503
Sb2 0.497 0.189 0.811
Sb3 0.503 0.811 0.189
Sb4 0.811 0.503 0.497

***

3.
Entry from the Alexandria database: a relaxed NaAg6Sb2 crystal (PBE).

Results
density = 7.4 Mg/m³
Fermi-level density of states = 4.2 states/eV/f.u.
crystal system = tetragonal
magnetic moment = 0.00 μB per formula unit
space group = No. 123
formation energy without anion corrections = -1 kJ/mol of atoms

Cell: 4.621 4.621 9.597 Å, 90.00 90.00 90.00°
Atoms (fractional coordinates):
Na1 0.000 0.000 0.000
Ag1 0.000 0.000 0.500
Ag2 0.000 0.500 0.317
Ag3 0.000 0.500 0.683
Ag4 0.500 0.000 0.317
Ag5 0.500 0.000 0.683
Ag6 0.500 0.500 0.500
Sb1 0.500 0.500 0.152
Sb2 0.500 0.500 0.848

***

4.
Entry from the Alexandria database: a relaxed Na2Ag2Sb crystal (PBE).

Results
density = 5.3 Mg/m³
Fermi-level density of states = 3.0 states/eV/f.u.
crystal system = tetragonal
magnetic moment = 0.00 μB per formula unit
space group = No. 127
formation energy without anion corrections = 10 kJ/mol of atoms
offset from the most stable computed form = 220 meV per atom

Cell: 8.371 8.371 3.413 Å, 90.00 90.00 90.00°
Atoms (fractional coordinates):
Na1 0.167 0.333 0.000
Na2 0.333 0.833 0.000
Na3 0.667 0.167 0.000
Na4 0.833 0.667 0.000
Ag1 0.124 0.624 0.500
Ag2 0.376 0.124 0.500
Ag3 0.624 0.876 0.500
Ag4 0.876 0.376 0.500
Sb1 0.000 0.000 0.000
Sb2 0.500 0.500 0.000

***

5.
Entry from the Alexandria database: a relaxed Na3Ag2Sb4 crystal (PBE).

Results
density = 5.0 Mg/m³
Fermi-level density of states = 3.5 states/eV/f.u.
crystal system = monoclinic
magnetic moment = 0.00 μB per formula unit
space group = No. 12
formation energy without anion corrections = -13 kJ/mol of atoms
offset from the most stable computed form = 21 meV per atom

Cell: 6.103 6.103 9.745 Å, 93.74 93.74 44.85°
Atoms (fractional coordinates):
Na1 0.000 0.000 0.000
Na2 0.360 0.360 0.592
Na3 0.640 0.640 0.408
Ag1 0.368 0.368 0.212
Ag2 0.632 0.632 0.788
Sb1 0.074 0.074 0.638
Sb2 0.281 0.281 0.910
Sb3 0.719 0.719 0.090
Sb4 0.926 0.926 0.362

***

6.
Entry from the Alexandria database: a relaxed NaAg4Sb2 crystal (PBE).

Results
density = 7.0 Mg/m³
Fermi-level density of states = 2.6 states/eV/f.u.
crystal system = orthorhombic
magnetic moment = 0.00 μB per formula unit
space group = No. 65
formation energy without anion corrections = -3 kJ/mol of atoms

Cell: 4.452 16.477 4.502 Å, 90.00 90.00 90.00°
Atoms (fractional coordinates):
Na1 0.000 0.000 0.000
Na2 0.500 0.500 0.000
Ag1 0.000 0.193 0.500
Ag2 0.000 0.309 0.000
Ag3 0.000 0.691 0.000
Ag4 0.000 0.807 0.500
Ag5 0.500 0.191 0.000
Ag6 0.500 0.307 0.500
Ag7 0.500 0.693 0.500
Ag8 0.500 0.809 0.000
Sb1 0.000 0.412 0.500
Sb2 0.000 0.588 0.500
Sb3 0.500 0.088 0.500
Sb4 0.500 0.912 0.500

***

7.
Entry from the Alexandria database: a relaxed Na3Ag6Sb5 crystal (PBE).

Results
density = 6.5 Mg/m³
Fermi-level density of states = 4.7 states/eV/f.u.
crystal system = orthorhombic
magnetic moment = 0.00 μB per formula unit
space group = No. 59
formation energy without anion corrections = -12 kJ/mol of atoms

Cell: 4.725 14.476 9.946 Å, 90.00 90.00 90.00°
Atoms (fractional coordinates):
Na1 0.250 0.067 0.234
Na2 0.250 0.433 0.234
Na3 0.250 0.750 0.218
Na4 0.750 0.250 0.782
Na5 0.750 0.567 0.766
Na6 0.750 0.933 0.766
Ag1 0.250 0.055 0.570
Ag2 0.250 0.250 0.032
Ag3 0.250 0.250 0.544
Ag4 0.250 0.445 0.570
Ag5 0.250 0.576 0.000
Ag6 0.250 0.924 0.000
Ag7 0.750 0.076 0.000
Ag8 0.750 0.424 0.000
Ag9 0.750 0.555 0.430
Ag10 0.750 0.750 0.456
Ag11 0.750 0.750 0.968
Ag12 0.750 0.945 0.430
Sb1 0.250 0.094 0.848
Sb2 0.250 0.406 0.848
Sb3 0.250 0.638 0.546
Sb4 0.250 0.750 0.804
Sb5 0.250 0.862 0.546
Sb6 0.750 0.138 0.454
Sb7 0.750 0.250 0.196
Sb8 0.750 0.362 0.454
Sb9 0.750 0.594 0.152
Sb10 0.750 0.906 0.152

***

8.
Entry from the Alexandria database: a relaxed NaAgSb3 crystal (PBE).

Results
density = 5.8 Mg/m³
Fermi-level density of states = 2.3 states/eV/f.u.
crystal system = orthorhombic
magnetic moment = 0.00 μB per formula unit
space group = No. 31
formation energy without anion corrections = -5 kJ/mol of atoms
offset from the most stable computed form = 0 meV per atom

Cell: 6.868 6.417 6.440 Å, 90.00 90.00 90.00°
Atoms (fractional coordinates):
Na1 0.000 0.237 0.000
Na2 0.500 0.763 0.500
Ag1 0.000 0.602 0.312
Ag2 0.500 0.398 0.812
Sb1 0.000 0.908 0.622
Sb2 0.243 0.271 0.485
Sb3 0.257 0.729 0.985
Sb4 0.500 0.092 0.122
Sb5 0.743 0.729 0.985
Sb6 0.757 0.271 0.485